Record 1
# Ba4ZnCu2 PBE-GGA relaxed
# - VASP energy (eV/cell) = -16.31
# - M_tot (μB per atom) = 0.00
# - DOS(E_F) (states/eV/atom) = 0.638
# - energy relative to the elements (eV/atom) = 0.1214
data_Ba4ZnCu2
_space_group_name_H-M_alt 'P 1'
_space_group_IT_number 1
_cell_length_a 8.988
_cell_length_b 8.988
_cell_length_c 8.988
_cell_angle_alpha 138.25
_cell_angle_beta 138.25
_cell_angle_gamma 60.52
loop_
_space_group_symop_operation_xyz
'x,y,z'
loop_
_atom_site_label
_atom_site_fract_x
_atom_site_fract_y
_atom_site_fract_z
Ba1 0.000 0.500 0.500
Ba2 0.219 0.219 0.000
Ba3 0.500 0.000 0.500
Ba4 0.781 0.781 0.000
Zn1 0.000 0.000 0.000
Cu1 0.423 0.423 0.000
Cu2 0.577 0.577 0.000


Record 2
# CsBaYCl6 PBE-GGA relaxed
# - VASP energy (eV/cell) = -82.52
# - M_tot (μB per atom) = 0.00
# - DOS(E_F) (states/eV/atom) = 0.000
data_CsBaYCl6
_space_group_name_H-M_alt 'P 1'
_space_group_IT_number 1
_cell_length_a 7.731
_cell_length_b 7.731
_cell_length_c 14.328
_cell_angle_alpha 90.00
_cell_angle_beta 90.00
_cell_angle_gamma 120.00
loop_
_space_group_symop_operation_xyz
'x,y,z'
loop_
_atom_site_label
_atom_site_fract_x
_atom_site_fract_y
_atom_site_fract_z
Cs1 0.000 0.000 0.000
Cs2 0.000 0.000 0.500
Ba1 0.333 0.667 0.250
Ba2 0.667 0.333 0.750
Y1 0.333 0.667 0.750
Y2 0.667 0.333 0.250
Cl1 0.041 0.395 0.643
Cl2 0.041 0.646 0.857
Cl3 0.354 0.395 0.857
Cl4 0.354 0.959 0.643
Cl5 0.395 0.041 0.143
Cl6 0.395 0.354 0.357
Cl7 0.605 0.646 0.643
Cl8 0.605 0.959 0.857
Cl9 0.646 0.041 0.357
Cl10 0.646 0.605 0.143
Cl11 0.959 0.354 0.143
Cl12 0.959 0.605 0.357